Ac6RuRh | PBE | relaxed

- Uncorrected energy: -43.50 eV for the cell shown
- Distance to the lowest polymorph of the same formula: 0.00 eV per formula unit

abc: 7.2619 7.2625 8.1154
angles: 63.42 63.44 60.00
Closest atoms and distances in Å follow each position.
Sites, in units of the cell vectors:
Ac (0.2489, 0.9149, 0.2473)  1 Ru 2.95, 1 Rh 2.99
Ac (0.9146, 0.5894, 0.2474)  1 Ru 2.95, 1 Rh 2.99
Ac (0.4106, 0.7509, 0.7529)  1 Ru 2.95, 1 Rh 2.99
Ac (0.7511, 0.0851, 0.7527)  1 Ru 2.95, 1 Rh 2.99
Ac (0.5894, 0.2491, 0.2471)  1 Ru 2.95, 1 Rh 2.99
Ac (0.0854, 0.4106, 0.7526)  1 Ru 2.95, 1 Rh 2.99
Rh (0.5000, 0.5000, 0.5000)  6 Ac 2.99
Ru (0.0000, 0.0000, 0.0000)  6 Ac 2.95